(1)
A geometry-optimized MgTe2Se structure, computed with GGA-PBE.

Lattice parameters (Å, degrees): 5.140 3.984 5.933 90.00 111.05 90.00
Atoms (fractional coordinates):
Mg (0.000, 0.000, 0.000)
Te (0.000, 0.000, 0.500)
Te (0.477, 0.500, 0.230)
Se (0.640, 0.500, 0.862)

## Properties
Density of states at the Fermi level = 1.94 states/eV/cell
Space group = Pm
Raw total energy = -3.107 eV per atom
Formation energy (no corrections) = -0.27 eV per atom
V = 113.38 Å³ per cell

=====

(2)
A geometry-optimized MgTe2Se structure, computed with GGA-PBE.

Lattice parameters (Å, degrees): 12.299 4.158 5.024 90.00 113.33 90.00
Atoms (fractional coordinates):
Mg (0.000, 0.000, 0.000)
Mg (0.500, 0.500, 0.000)
Te (0.310, 0.000, 0.953)
Te (0.478, 0.000, 0.546)
Te (0.810, 0.500, 0.953)
Te (0.978, 0.500, 0.546)
Se (0.136, 0.500, 0.296)
Se (0.636, 0.000, 0.296)

## Properties
Density of states at the Fermi level = 1.37 states/eV/cell
Space group = Cm
Raw total energy = -3.153 eV per atom
Formation energy (no corrections) = -0.31 eV per atom
V = 235.94 Å³ per cell

=====

(3)
A geometry-optimized MgTe2Se structure, computed with GGA-PBE.

Lattice parameters (Å, degrees): 4.066 4.066 18.768 90.00 90.00 90.00
Atoms (fractional coordinates):
Mg (0.000, 0.000, 0.000)
Mg (0.500, 0.500, 0.500)
Te (0.000, 0.500, 0.250)
Te (0.000, 0.500, 0.750)
Te (0.500, 0.000, 0.250)
Te (0.500, 0.000, 0.750)
Se (0.000, 0.000, 0.500)
Se (0.500, 0.500, 0.000)

## Properties
Density of states at the Fermi level = 2.44 states/eV/cell
Space group = I4/mmm
Raw total energy = -3.028 eV per atom
Formation energy (no corrections) = -0.19 eV per atom
V = 310.23 Å³ per cell

=====

(4)
A geometry-optimized Mg5Te4Se structure, computed with GGA-PBE.

Lattice parameters (Å, degrees): 4.537 4.537 36.910 90.00 90.00 120.00
Atoms (fractional coordinates):
Mg (0.000, 0.000, 0.000)
Mg (0.000, 0.000, 0.190)
Mg (0.000, 0.000, 0.397)
Mg (0.000, 0.000, 0.603)
Mg (0.000, 0.000, 0.809)
Mg (0.667, 0.333, 0.103)
Mg (0.667, 0.333, 0.294)
Mg (0.667, 0.333, 0.500)
Mg (0.667, 0.333, 0.706)
Mg (0.667, 0.333, 0.912)
Te (0.000, 0.000, 0.076)
Te (0.000, 0.000, 0.267)
Te (0.000, 0.000, 0.474)
Te (0.000, 0.000, 0.680)
Te (0.000, 0.000, 0.886)
Te (0.667, 0.333, 0.370)
Te (0.667, 0.333, 0.577)
Te (0.667, 0.333, 0.783)
Se (0.667, 0.333, 0.173)
Se (0.667, 0.333, 0.982)

## Properties
Density of states at the Fermi level = 0.00 states/eV/cell
Space group = P3m1
Raw total energy = -3.344 eV per atom
Formation energy (no corrections) = -0.94 eV per atom
V = 658.10 Å³ per cell

=====

(5)
A geometry-optimized Mg5TeSe4 structure, computed with GGA-PBE.

Lattice parameters (Å, degrees): 4.329 4.329 34.974 90.00 90.00 120.00
Atoms (fractional coordinates):
Mg (0.000, 0.000, 0.000)
Mg (0.000, 0.000, 0.193)
Mg (0.000, 0.000, 0.403)
Mg (0.000, 0.000, 0.613)
Mg (0.000, 0.000, 0.806)
Mg (0.333, 0.667, 0.097)
Mg (0.333, 0.667, 0.306)
Mg (0.333, 0.667, 0.516)
Mg (0.333, 0.667, 0.709)
Mg (0.333, 0.667, 0.903)
Te (0.000, 0.000, 0.274)
Te (0.000, 0.000, 0.484)
Se (0.000, 0.000, 0.074)
Se (0.000, 0.000, 0.687)
Se (0.000, 0.000, 0.881)
Se (0.333, 0.667, 0.171)
Se (0.333, 0.667, 0.381)
Se (0.333, 0.667, 0.590)
Se (0.333, 0.667, 0.784)
Se (0.333, 0.667, 0.978)

## Properties
Density of states at the Fermi level = 0.00 states/eV/cell
Space group = P3m1
Raw total energy = -3.676 eV per atom
Formation energy (no corrections) = -1.17 eV per atom
V = 567.57 Å³ per cell

=====

(6)
A geometry-optimized MgTeSe4 structure, computed with GGA-PBE.

Lattice parameters (Å, degrees): 5.802 5.802 5.802 60.00 60.00 60.00
Atoms (fractional coordinates):
Mg (0.000, 0.000, 0.000)
Te (0.250, 0.250, 0.250)
Se (0.121, 0.626, 0.626)
Se (0.626, 0.121, 0.626)
Se (0.626, 0.626, 0.121)
Se (0.626, 0.626, 0.626)

## Properties
Density of states at the Fermi level = 4.39 states/eV/cell
Space group = F-43m
Raw total energy = -2.734 eV per atom
Formation energy (no corrections) = 0.38 eV per atom
V = 138.14 Å³ per cell

=====

(7)
A geometry-optimized MgTe2Se structure, computed with GGA-PBE.

Lattice parameters (Å, degrees): 4.314 4.314 25.193 90.00 90.00 120.00
Atoms (fractional coordinates):
Mg (0.000, 0.000, 0.000)
Mg (0.333, 0.667, 0.667)
Mg (0.667, 0.333, 0.333)
Te (0.000, 0.000, 0.394)
Te (0.000, 0.000, 0.606)
Te (0.333, 0.667, 0.061)
Te (0.333, 0.667, 0.272)
Te (0.667, 0.333, 0.728)
Te (0.667, 0.333, 0.939)
Se (0.000, 0.000, 0.500)
Se (0.333, 0.667, 0.167)
Se (0.667, 0.333, 0.833)

## Properties
Density of states at the Fermi level = 10.97 states/eV/cell
Space group = R-3m
Raw total energy = -2.943 eV per atom
Formation energy (no corrections) = -0.10 eV per atom
V = 405.96 Å³ per cell

=====

(8)
A geometry-optimized Mg2TeSe structure, computed with GGA-PBE.

Lattice parameters (Å, degrees): 4.418 4.418 21.718 90.00 90.00 120.00
Atoms (fractional coordinates):
Mg (0.000, 0.000, 0.000)
Mg (0.000, 0.000, 0.488)
Mg (0.333, 0.667, 0.155)
Mg (0.333, 0.667, 0.667)
Mg (0.667, 0.333, 0.333)
Mg (0.667, 0.333, 0.821)
Te (0.000, 0.000, 0.871)
Te (0.333, 0.667, 0.537)
Te (0.667, 0.333, 0.204)
Se (0.000, 0.000, 0.368)
Se (0.333, 0.667, 0.035)
Se (0.667, 0.333, 0.702)

## Properties
Density of states at the Fermi level = 0.00 states/eV/cell
Offset from the most stable computed form = 14 meV/atom
Space group = R3m
Raw total energy = -3.497 eV per atom
Formation energy (no corrections) = -1.04 eV per atom
V = 367.08 Å³ per cell

=====

(9)
A geometry-optimized Mg2TeSe structure, computed with GGA-PBE.

Lattice parameters (Å, degrees): 7.820 7.686 4.670 90.00 114.93 90.00
Atoms (fractional coordinates):
Mg (0.250, 0.250, 0.000)
Mg (0.250, 0.750, 0.000)
Mg (0.750, 0.250, 0.000)
Mg (0.750, 0.750, 0.000)
Te (0.000, 0.000, 0.000)
Te (0.500, 0.500, 0.000)
Se (0.000, 0.500, 0.000)
Se (0.500, 0.000, 0.000)

## Properties
Offset from the most stable computed form = 418 meV/atom
Space group = C2/m
Raw total energy = -3.093 eV per atom
Formation energy (no corrections) = -0.64 eV per atom
V = 254.54 Å³ per cell

=====

(10)
A geometry-optimized Mg2TeSe structure, computed with GGA-PBE.

Lattice parameters (Å, degrees): 4.016 4.016 20.957 90.00 90.00 120.00
Atoms (fractional coordinates):
Mg (0.000, 0.000, 0.000)
Mg (0.000, 0.000, 0.158)
Mg (0.333, 0.667, 0.667)
Mg (0.333, 0.667, 0.824)
Mg (0.667, 0.333, 0.333)
Mg (0.667, 0.333, 0.491)
Te (0.000, 0.000, 0.580)
Te (0.333, 0.667, 0.247)
Te (0.667, 0.333, 0.914)
Se (0.000, 0.000, 0.408)
Se (0.333, 0.667, 0.075)
Se (0.667, 0.333, 0.741)

## Properties
Offset from the most stable computed form = 166 meV/atom
Space group = R3m
Raw total energy = -3.346 eV per atom
Formation energy (no corrections) = -0.89 eV per atom
V = 292.64 Å³ per cell

=====

(11)
A geometry-optimized MgTe2Se2 structure, computed with GGA-PBE.

Lattice parameters (Å, degrees): 7.979 7.979 4.697 90.00 90.00 90.00
Atoms (fractional coordinates):
Mg (0.000, 0.000, 0.000)
Mg (0.500, 0.500, 0.000)
Te (0.178, 0.322, 0.000)
Te (0.322, 0.822, 0.000)
Te (0.678, 0.178, 0.000)
Te (0.822, 0.678, 0.000)
Se (0.202, 0.702, 0.500)
Se (0.298, 0.202, 0.500)
Se (0.702, 0.798, 0.500)
Se (0.798, 0.298, 0.500)

## Properties
Density of states at the Fermi level = 6.52 states/eV/cell
Offset from the most stable computed form = 52 meV/atom
Space group = P4/mbm
Raw total energy = -3.031 eV per atom
Formation energy (no corrections) = -0.06 eV per atom
V = 299.04 Å³ per cell

=====

(12)
A geometry-optimized Mg2TeSe structure, computed with GGA-PBE.

Lattice parameters (Å, degrees): 3.753 3.831 13.634 90.00 90.00 90.00
Atoms (fractional coordinates):
Mg (0.000, 0.000, 0.000)
Mg (0.000, 0.500, 0.233)
Mg (0.500, 0.000, 0.733)
Mg (0.500, 0.500, 0.500)
Te (0.000, 0.000, 0.403)
Te (0.500, 0.500, 0.903)
Se (0.000, 0.500, 0.653)
Se (0.500, 0.000, 0.153)

## Properties
Density of states at the Fermi level = 1.22 states/eV/cell
Offset from the most stable computed form = 281 meV/atom
Space group = Imm2
Raw total energy = -3.230 eV per atom
Formation energy (no corrections) = -0.78 eV per atom
V = 196.00 Å³ per cell

=====

(13)
A geometry-optimized Mg2TeSe structure, computed with GGA-PBE.

Lattice parameters (Å, degrees): 3.893 8.534 7.679 90.00 90.00 90.00
Atoms (fractional coordinates):
Mg (0.000, 0.000, 0.234)
Mg (0.000, 0.000, 0.766)
Mg (0.500, 0.500, 0.234)
Mg (0.500, 0.500, 0.766)
Te (0.000, 0.500, 0.500)
Te (0.500, 0.000, 0.500)
Se (0.000, 0.500, 0.000)
Se (0.500, 0.000, 0.000)

## Properties
Density of states at the Fermi level = 0.35 states/eV/cell
Offset from the most stable computed form = 392 meV/atom
Space group = Cmmm
Raw total energy = -3.120 eV per atom
Formation energy (no corrections) = -0.67 eV per atom
V = 255.10 Å³ per cell

=====

(14)
A geometry-optimized MgTe2Se2 structure, computed with GGA-PBE.

Lattice parameters (Å, degrees): 7.427 7.427 4.842 90.00 90.00 90.00
Atoms (fractional coordinates):
Mg (0.000, 0.000, 0.000)
Mg (0.500, 0.500, 0.000)
Te (0.151, 0.349, 0.500)
Te (0.349, 0.849, 0.500)
Te (0.651, 0.151, 0.500)
Te (0.849, 0.651, 0.500)
Se (0.197, 0.697, 0.000)
Se (0.303, 0.197, 0.000)
Se (0.697, 0.803, 0.000)
Se (0.803, 0.303, 0.000)

## Properties
Density of states at the Fermi level = 4.33 states/eV/cell
Offset from the most stable computed form = 0 meV/atom
Space group = P4/mbm
Raw total energy = -3.083 eV per atom
Formation energy (no corrections) = -0.11 eV per atom
V = 267.11 Å³ per cell

=====

(15)
A geometry-optimized Y2MgTeSe structure, computed with GGA-PBE.

Lattice parameters (Å, degrees): 5.678 5.678 4.941 90.00 90.00 90.00
Atoms (fractional coordinates):
Y (0.000, 0.500, 0.000)
Y (0.500, 0.000, 0.000)
Mg (0.000, 0.000, 0.000)
Te (0.000, 0.000, 0.500)
Se (0.500, 0.500, 0.500)

## Properties
Density of states at the Fermi level = 1.73 states/eV/cell
Space group = P4/mmm
Raw total energy = -4.155 eV per atom
Formation energy (no corrections) = 0.07 eV per atom
V = 159.26 Å³ per cell

=====

(16)
A geometry-optimized MgZnTeSe structure, computed with GGA-PBE.

Lattice parameters (Å, degrees): 4.306 4.306 21.392 90.00 90.00 120.00
Atoms (fractional coordinates):
Mg (0.000, 0.000, 0.000)
Mg (0.333, 0.667, 0.667)
Mg (0.667, 0.333, 0.333)
Zn (0.000, 0.000, 0.511)
Zn (0.333, 0.667, 0.178)
Zn (0.667, 0.333, 0.844)
Te (0.000, 0.000, 0.387)
Te (0.333, 0.667, 0.053)
Te (0.667, 0.333, 0.720)
Se (0.000, 0.000, 0.879)
Se (0.333, 0.667, 0.545)
Se (0.667, 0.333, 0.212)

## Properties
Space group = R3m
Raw total energy = -3.114 eV per atom
Formation energy (no corrections) = -0.74 eV per atom
V = 343.59 Å³ per cell

=====

(17)
A geometry-optimized Th3MgSe4 structure, computed with GGA-PBE.

Lattice parameters (Å, degrees): 8.676 11.738 3.968 90.00 90.00 90.00
Atoms (fractional coordinates):
Th (0.000, 0.000, 0.000)
Th (0.250, 0.250, 0.500)
Th (0.250, 0.750, 0.500)
Th (0.500, 0.500, 0.000)
Th (0.750, 0.250, 0.500)
Th (0.750, 0.750, 0.500)
Mg (0.000, 0.500, 0.000)
Mg (0.500, 0.000, 0.000)
Se (0.000, 0.264, 0.000)
Se (0.000, 0.736, 0.000)
Se (0.223, 0.500, 0.500)
Se (0.277, 0.000, 0.500)
Se (0.500, 0.236, 0.000)
Se (0.500, 0.764, 0.000)
Se (0.723, 0.000, 0.500)
Se (0.777, 0.500, 0.500)

## Properties
Density of states at the Fermi level = 11.36 states/eV/cell
Space group = Cmmm
Raw total energy = -6.097 eV per atom
Formation energy (no corrections) = -1.37 eV per atom
V = 404.08 Å³ per cell

=====

(18)
A geometry-optimized Th4MgSe5 structure, computed with GGA-PBE.

Lattice parameters (Å, degrees): 7.209 7.209 7.209 99.58 99.58 131.84
Atoms (fractional coordinates):
Th (0.090, 0.688, 0.777)
Th (0.312, 0.090, 0.402)
Th (0.688, 0.910, 0.598)
Th (0.910, 0.312, 0.223)
Mg (0.478, 0.478, 0.000)
Se (0.227, 0.399, 0.626)
Se (0.399, 0.774, 0.172)
Se (0.602, 0.227, 0.828)
Se (0.774, 0.602, 0.374)
Se (0.995, 0.995, 0.000)

## Properties
Density of states at the Fermi level = 4.97 states/eV/cell
Space group = I4
Raw total energy = -6.290 eV per atom
Formation energy (no corrections) = -1.42 eV per atom
V = 254.77 Å³ per cell

=====

(19)
A geometry-optimized Th3MgSe6 structure, computed with GGA-PBE.

Lattice parameters (Å, degrees): 9.024 9.024 7.012 90.00 90.00 101.10
Atoms (fractional coordinates):
Th (0.103, 0.897, 0.500)
Th (0.230, 0.423, 0.601)
Th (0.423, 0.230, 0.101)
Th (0.577, 0.770, 0.601)
Th (0.770, 0.577, 0.101)
Th (0.897, 0.103, 0.000)
Mg (0.308, 0.692, 0.129)
Mg (0.692, 0.308, 0.629)
Se (0.059, 0.595, 0.322)
Se (0.124, 0.196, 0.301)
Se (0.196, 0.124, 0.801)
Se (0.271, 0.729, 0.772)
Se (0.405, 0.941, 0.322)
Se (0.472, 0.528, 0.309)
Se (0.528, 0.472, 0.809)
Se (0.595, 0.059, 0.822)
Se (0.729, 0.271, 0.272)
Se (0.804, 0.876, 0.301)
Se (0.876, 0.804, 0.801)
Se (0.941, 0.405, 0.822)

## Properties
Density of states at the Fermi level = 8.69 states/eV/cell
Space group = Cmc2_1
Raw total energy = -6.040 eV per atom
Formation energy (no corrections) = -1.56 eV per atom
V = 560.31 Å³ per cell

=====

(20)
A geometry-optimized Th2MgSe3 structure, computed with GGA-PBE.

Lattice parameters (Å, degrees): 5.841 17.633 4.130 90.00 135.00 90.00
Atoms (fractional coordinates):
Th (0.000, 0.176, 0.000)
Th (0.000, 0.824, 0.000)
Th (0.500, 0.324, 0.000)
Th (0.500, 0.676, 0.000)
Mg (0.004, 0.500, 0.998)
Mg (0.504, 0.000, 0.998)
Se (0.000, 0.349, 0.000)
Se (0.000, 0.651, 0.000)
Se (0.001, 0.000, 0.000)
Se (0.500, 0.151, 0.000)
Se (0.500, 0.849, 0.000)
Se (0.501, 0.500, 0.000)

## Properties
Density of states at the Fermi level = 6.56 states/eV/cell
Space group = Cm
Raw total energy = -5.864 eV per atom
Formation energy (no corrections) = -1.38 eV per atom
V = 300.79 Å³ per cell